# 1
Density functional theory data (PBE) for a relaxed Pm3DyYEr crystal.

The calculation puts the density at 7.18 g cm⁻³. The value obtained for the energy of formation is 1.9 kJ per mole of atoms. The crystal system is monoclinic.

a = 8.0393 Å, b = 5.0978 Å, c = 10.1583 Å
α = 90.00°, β = 108.50°, γ = 90.00°
Fractional coordinates of all 12 atoms:
Pm  0.1682  0.2500  0.0422
Pm  0.1690  0.2500  0.5420
Pm  0.1699  0.7500  0.7918
Pm  0.8301  0.2500  0.2082
Pm  0.8310  0.7500  0.4580
Pm  0.8318  0.7500  0.9578
Dy  0.4988  0.7500  0.1259
Dy  0.5012  0.2500  0.8741
Y  0.1701  0.7500  0.2931
Y  0.8299  0.2500  0.7069
Er  0.4998  0.2500  0.3763
Er  0.5002  0.7500  0.6237

---

# 2
Density functional theory data (PBE) for a relaxed RbTlPd crystal.

The calculation puts the density at 7.02 g cm⁻³. The calculation puts the polymorph energy (0 for the lowest one) at 99 meV per atom. The value obtained for the energy of formation is -6.1 kJ per mole of atoms. The crystal system is tetragonal.

a = 6.9078 Å, b = 6.9078 Å, c = 6.9078 Å
α = 147.72°, β = 147.72°, γ = 46.31°
Fractional coordinates of all 3 atoms:
Rb  0.0000  0.0000  0.0000
Tl  0.7225  0.7225  0.0000
Pd  0.2801  0.2801  0.0000